4
Lattice="3.455 0.014 0.000 -0.014 3.455 0.000 0.000 0.000 5.965" Properties=species:S:1:pos:R:3 comment="TaInPt2 (PBE, relaxed)" spacegroup="P4mm, No. 99" e_tot_ev_per_cell=-28.0 delta_e_f_mev_per_atom=-326 pbc="T T T"
In 1.721 1.735 4.615
Pt 0.000 0.000 5.943
Pt 1.721 1.735 1.609
Ta 0.000 0.000 2.746